Record 1
Compound: RbBa2MgZn
Source: Alexandria via LeMat-Bulk
Functional: PBE-GGA
Structure: optimized geometry

For the volume, the calculation gives 242 Å³/cell. The calculation puts the energy relative to the elements at 0.077 eV per atom. The value obtained for the total magnetization is 0.5 μB/f.u.

The structure belongs to space group P4/mmm (No. 123); the cell edges are 6.668, 6.668 and 5.447 Å and the angles 90.00°, 90.00° and 90.00°. Symmetry generates all atoms from Rb at (0.000, 0.000, 0.000), Ba at (0.000, 0.500, 0.500), Mg at (0.500, 0.500, 0.000) and Zn at (0.500, 0.500, 0.500).


Record 2
Compound: LaSbMoI2
Source: Alexandria via LeMat-Bulk
Functional: PBE-GGA
Structure: optimized geometry

As for the formation energy from raw total energies: 7 kJ per mole of atoms. For the volume, the calculation gives 161 Å³/cell. The value obtained for the total magnetization is 2.7 μB/f.u.

The structure belongs to space group P4/mmm (No. 123); the cell edges are 5.414, 5.414 and 5.498 Å and the angles 90.00°, 90.00° and 90.00°. Symmetry generates all atoms from La at (0.000, 0.000, 0.000), Sb at (0.500, 0.500, 0.000), Mo at (0.500, 0.500, 0.500) and I at (0.000, 0.500, 0.500).


Q: Which value of total magnetization does entry 2 give?
A: 2.7 μB/f.u.


Q: The highest total magnetization belongs to which entry?
A: LaSbMoI2